## Ni5HgBr12 (PBE)

Data for Ni5HgBr12 after structural relaxation.

Cell lengths 6.5127, 11.2863, 13.6742 Å; angles 90.00, 90.11, 90.00 degrees
Closest atoms and distances in Å follow each position.
Space group C2/m (No. 12)
Unique sites:
Ni: 0.0000 0.0000 0.0000 [2 per cell]  6 Br 2.57
Ni: 0.0000 0.1666 0.5000 [4 per cell]  6 Br 2.55
Ni: 0.0000 0.3333 0.0000 [4 per cell]  6 Br 2.57
Hg: 0.0000 0.5000 0.5000 [2 per cell]  6 Br 2.81
Br: 0.1341 0.0000 0.6089 [4 per cell]  2 Ni 2.55, 1 Hg 2.81
Br: 0.1663 0.1666 0.8997 [8 per cell]  3 Ni 2.57
Br: 0.1662 0.5000 0.8995 [4 per cell]  3 Ni 2.57
Br: 0.1834 0.3169 0.6088 [8 per cell]  2 Ni 2.55, 1 Hg 2.81

## Properties
* crystal system: monoclinic
* theoretical density: 4801 kg/m³
* raw formation energy: -0.3344 eV per atom